No. 1
The following is a DFT calculation (GGA-PBE) of Ti9Sn2Pb after structural relaxation.

Values from the calculation:
SG ... R-3m

Cell lengths 5.580, 5.580, 9.119 Å; angles 72.18, 72.18, 60.00 degrees
Fractional positions:
Pb (0.000, 0.000, 0.000)
Ti (0.083, 0.585, 0.748)
Ti (0.585, 0.083, 0.748)
Ti (0.917, 0.415, 0.252)
Ti (0.668, 0.668, 0.997)
Ti (0.415, 0.917, 0.252)
Ti (0.585, 0.585, 0.748)
Ti (0.332, 0.332, 0.003)
Ti (0.415, 0.415, 0.252)
Ti (0.500, 0.500, 0.500)
Sn (0.858, 0.858, 0.426)
Sn (0.142, 0.142, 0.574)

No. 2
The following is a DFT calculation (GGA-PBE) of Ti2SnPb after structural relaxation.

Values from the calculation:
Energy above the lowest structure with this stoichiometry ... 0 meV per atom
SG ... P4/mmm

Cell lengths 4.103, 4.468, 4.468 Å; angles 90.00, 90.00, 90.00 degrees
Fractional positions:
Sn (0.500, 0.500, 0.500)
Pb (0.500, 0.000, 0.000)
Ti (0.000, 0.000, 0.500)
Ti (0.000, 0.500, 0.000)

no.,energy relative to the elements (eV/f.u.)
1,2.10
2,-0.01